The following is a PBE calculation of a geometry-optimized ZnCrB3 structure, from Alexandria.

Properties
* calculated formation energy: 1.1227 eV/atom
* E_tot: -25.3 eV/cell
* energy above the most stable polymorph in this dataset: 0 meV per atom
* theoretical density: 4.30 g/cm³

extended XYZ file:
```
5
Lattice="3.867 0.000 0.000 0.000 3.867 0.000 0.000 0.000 3.867" Properties=species:S:1:pos:R:3 pbc="T T T"
Zn 0.000 0.000 0.000
Cr 1.933 1.933 1.933
B 0.000 1.933 1.933
B 1.933 0.000 1.933
B 1.933 1.933 0.000
```

***

The following is a PBE calculation of a geometry-optimized ZnCr2B structure, from Alexandria.

Properties
* calculated formation energy: 0.7778 eV/atom
* E_tot: -48.2 eV/cell
* energy above the most stable polymorph in this dataset: 276 meV per atom
* theoretical density: 6.40 g/cm³

extended XYZ file:
```
8
Lattice="-1.673 1.673 8.361 1.673 -1.673 8.361 1.673 1.673 -8.361" Properties=species:S:1:pos:R:3 pbc="T T T"
Zn 0.000 0.000 0.000
Zn 0.000 1.673 4.180
Cr 0.836 -0.706 6.271
Cr 0.967 0.836 2.090
Cr 0.836 2.378 -2.090
Cr 0.706 0.836 10.451
B 1.673 0.000 4.180
B 0.000 0.000 8.361
```

***

The following is a PBE calculation of a geometry-optimized ZnCr2B2 structure, from Alexandria.

Properties
* calculated formation energy: -0.1797 eV/atom
* E_tot: -69.5 eV/cell
* theoretical density: 6.76 g/cm³

extended XYZ file:
```
10
Lattice="5.594 0.000 0.000 0.000 5.594 0.000 0.000 0.000 3.000" Properties=species:S:1:pos:R:3 pbc="T T T"
Zn 0.000 0.000 0.000
Zn 2.797 2.797 0.000
Cr 0.962 1.835 1.500
Cr 1.835 4.632 1.500
Cr 3.759 0.962 1.500
Cr 4.632 3.759 1.500
B 0.617 3.414 0.000
B 2.180 0.617 0.000
B 3.414 4.977 0.000
B 4.977 2.180 0.000
```